No. 1
DFT (PBE-GGA) results for BeFe2B3 after structural relaxation.

Cell: 5.481 5.481 3.618 Å, 90.00 90.00 58.34°
Atoms (fractional coordinates):
Be1 0.130 0.870 0.750
Be2 0.870 0.130 0.250
Fe1 0.071 0.641 0.250
Fe2 0.359 0.929 0.250
Fe3 0.641 0.071 0.750
Fe4 0.929 0.359 0.750
B1 0.244 0.440 0.750
B2 0.440 0.244 0.250
B3 0.500 0.500 0.000
B4 0.500 0.500 0.500
B5 0.560 0.756 0.750
B6 0.756 0.560 0.250

Calculated values
D(E_F) in states/eV per atom: 0.549
Total DFT energy (no corrections) in eV/atom: -6.7449
Magnetic moment in μB/cell: 0.8

No. 2
DFT (PBE-GGA) results for BeFeB2 after structural relaxation.

Cell: 3.069 3.069 3.022 Å, 90.00 90.00 90.00°
Atoms (fractional coordinates):
Be1 0.000 0.000 0.000
Fe1 0.500 0.500 0.000
B1 0.000 0.500 0.500
B2 0.500 0.000 0.500

Calculated values
D(E_F) in states/eV per atom: 0.574
Offset from the most stable computed form in meV per atom: 109
Magnetic moment in μB/cell: 0.6

No. 3
DFT (PBE-GGA) results for BeFe6B2 after structural relaxation.

Cell: 6.065 6.065 6.065 Å, 114.36 111.92 102.38°
Atoms (fractional coordinates):
Be1 0.000 0.000 0.000
Be2 0.500 0.500 0.000
Fe1 0.045 0.247 0.798
Fe2 0.192 0.288 0.480
Fe3 0.192 0.712 0.905
Fe4 0.325 0.027 0.703
Fe5 0.325 0.622 0.297
Fe6 0.449 0.247 0.202
Fe7 0.551 0.753 0.798
Fe8 0.675 0.378 0.703
Fe9 0.675 0.973 0.297
Fe10 0.808 0.288 0.095
Fe11 0.808 0.712 0.520
Fe12 0.955 0.753 0.202
B1 0.119 0.619 0.500
B2 0.350 0.000 0.350
B3 0.650 0.000 0.650
B4 0.881 0.381 0.500

Calculated values
D(E_F) in states/eV per atom: 0.721
Total DFT energy (no corrections) in eV/atom: -7.7734
Magnetic moment in μB/cell: 22.4